1.
First-principles (PBE) data for a relaxed Sc2SiMo crystal, as listed in the Alexandria database.

Summary:
The energy comes out at -7.42 eV/atom. The theoretical density comes out at 5.02 g cm⁻³. The formation energy (no corrections) comes out at -18.5 kJ/mol of atoms.

Cell lengths 4.050, 4.050, 8.638 Å; angles 90.00, 90.00, 90.00 degrees
Space group I-4m2 (No. 119)
Symmetry-distinct sites (fractional):
Sc (0.000, 0.000, 0.000)
Sc (0.000, 0.500, 0.250)
Si (0.000, 0.500, 0.750)
Mo (0.000, 0.000, 0.500)

---

2.
First-principles (PBE) data for a relaxed Sc2SiMo crystal, as listed in the Alexandria database.

Summary:
The energy comes out at -6.98 eV/atom. The theoretical density comes out at 4.75 g cm⁻³. The formation energy (no corrections) comes out at 24.3 kJ/mol of atoms.

Cell lengths 3.0046, 3.0046, 28.7226 Å; angles 90.00, 90.00, 120.00 degrees
Space group R-3m (No. 166, hexagonal axes)
Symmetry-distinct sites (fractional):
Sc (0.0000, 0.0000, 0.0915)
Si (0.0000, 0.0000, 0.5000)
Mo (0.0000, 0.0000, 0.0000)

---

3.
First-principles (PBE) data for a relaxed Sc2SiMo crystal, as listed in the Alexandria database.

Summary:
The energy comes out at -6.96 eV/atom. The theoretical density comes out at 4.72 g cm⁻³. The formation energy (no corrections) comes out at 25.7 kJ/mol of atoms.

Cell lengths 7.562, 7.562, 5.270 Å; angles 90.00, 90.00, 90.00 degrees
Space group I-42d (No. 122)
Symmetry-distinct sites (fractional):
Sc (0.233, 0.250, 0.125)
Si (0.000, 0.000, 0.000)
Mo (0.000, 0.000, 0.500)

---

4.
First-principles (PBE) data for a relaxed ScSi2Mo2 crystal, as listed in the Alexandria database.

Summary:
The energy comes out at -7.81 eV/atom. The theoretical density comes out at 5.46 g cm⁻³. The distance to the lowest polymorph of the same formula comes out at 0.457 eV per atom. The formation energy (no corrections) comes out at -4.2 kJ/mol of atoms.

Cell lengths 4.588, 4.588, 8.472 Å; angles 90.00, 90.00, 90.00 degrees
Space group I4/mmm (No. 139)
Symmetry-distinct sites (fractional):
Sc (0.000, 0.000, 0.000)
Si (0.000, 0.500, 0.250)
Mo (0.000, 0.000, 0.364)

---

5.
First-principles (PBE) data for a relaxed Sc2SiMo crystal, as listed in the Alexandria database.

Summary:
The energy comes out at -7.22 eV/atom. The theoretical density comes out at 4.79 g cm⁻³. The formation energy (no corrections) comes out at 0.9 kJ/mol of atoms.

Cell lengths 3.0975, 3.0975, 26.7983 Å; angles 90.00, 90.00, 120.00 degrees
Space group R-3m (No. 166, hexagonal axes)
Symmetry-distinct sites (fractional):
Sc (0.0000, 0.0000, 0.2481)
Si (0.0000, 0.0000, 0.5000)
Mo (0.0000, 0.0000, 0.0000)

---

6.
First-principles (PBE) data for a relaxed Sc2SiMo crystal, as listed in the Alexandria database.

Summary:
The energy comes out at -7.50 eV/atom. The theoretical density comes out at 5.03 g cm⁻³. The formation energy (no corrections) comes out at -26.0 kJ/mol of atoms.

Cell lengths 4.374, 4.374, 3.690 Å; angles 90.00, 90.00, 90.00 degrees
Space group P4/mmm (No. 123)
Symmetry-distinct sites (fractional):
Sc (0.000, 0.500, 0.000)
Si (0.000, 0.000, 0.500)
Mo (0.500, 0.500, 0.500)

---

Number 5 is which compound? Sc2SiMo